Tb6Pm2Dy3Th | PBE | optimized geometry

## Properties
volume = 32.3 Å³ per atom
energy of formation from the pure elements = 0.027 eV/atom
SG = C2/m

Unit cell a=6.1932 b=6.1932 c=11.8338 alpha=95.00 beta=95.00 gamma=119.94
With the nearest neighbours (Å) after each atom.
Atoms (fractional coordinates):
Dy (0.5000, 0.5000, 0.5000)  6 Tb 3.55-3.58, 6 Dy 3.57-3.58
Dy (0.8330, 0.1670, 0.5000)  6 Tb 3.56-3.57, 6 Dy 3.57-3.58
Dy (0.1670, 0.8330, 0.5000)  6 Tb 3.56-3.57, 6 Dy 3.57-3.58
Th (0.0000, 0.0000, 0.0000)  6 Tb 3.56-3.57, 6 Pm 3.58
Pm (0.6666, 0.3334, 0.0000)  3 Pm 3.57-3.58, 3 Th 3.58, 6 Tb 3.58-3.59
Pm (0.3334, 0.6666, 0.0000)  3 Pm 3.57-3.58, 3 Th 3.58, 6 Tb 3.58-3.59
Tb (0.9156, 0.5860, 0.7490)  6 Tb 3.53-3.60, 3 Dy 3.55-3.57, 1 Th 3.57, 2 Pm 3.58-3.59
Tb (0.7549, 0.7549, 0.2510)  6 Tb 3.54-3.60, 3 Dy 3.56-3.58, 1 Th 3.56, 2 Pm 3.59
Tb (0.2451, 0.2451, 0.7490)  6 Tb 3.54-3.60, 3 Dy 3.56-3.58, 1 Th 3.56, 2 Pm 3.59
Tb (0.5860, 0.9156, 0.7490)  6 Tb 3.53-3.60, 3 Dy 3.55-3.57, 1 Th 3.57, 2 Pm 3.58-3.59
Tb (0.4140, 0.0844, 0.2510)  6 Tb 3.53-3.60, 3 Dy 3.55-3.57, 1 Th 3.57, 2 Pm 3.58-3.59
Tb (0.0844, 0.4140, 0.2510)  6 Tb 3.53-3.60, 3 Dy 3.55-3.57, 1 Th 3.57, 2 Pm 3.58-3.59

---

TbPmDy2Th | PBE | optimized geometry

## Properties
volume = 34.5 Å³ per atom
energy of formation from the pure elements = 0.388 eV/atom
SG = Cmcm

Unit cell a=6.4241 b=6.4528 c=8.9173 alpha=111.21 beta=90.00 gamma=90.00
With the nearest neighbours (Å) after each atom.
Atoms (fractional coordinates):
Th (0.7500, 0.1559, 0.3118)  1 Pm 3.11, 4 Dy 3.44, 2 Tb 3.44
Th (0.2500, 0.8441, 0.6882)  1 Pm 3.11, 4 Dy 3.44, 2 Tb 3.44
Tb (0.7500, 0.7704, 0.5408)  4 Th 3.44-3.75, 4 Pm 3.44-3.72
Tb (0.2500, 0.2296, 0.4592)  4 Th 3.44-3.75, 4 Pm 3.44-3.72
Dy (0.0000, 0.7541, 0.0000)  4 Dy 3.17-3.28, 2 Th 3.44, 2 Pm 3.48
Dy (0.5000, 0.7541, 0.0000)  4 Dy 3.17-3.28, 2 Th 3.44, 2 Pm 3.48
Dy (0.5000, 0.2459, 0.0000)  4 Dy 3.17-3.28, 2 Th 3.44, 2 Pm 3.48
Dy (0.0000, 0.2459, 0.0000)  4 Dy 3.17-3.28, 2 Th 3.44, 2 Pm 3.48
Pm (0.7500, 0.3429, 0.6858)  1 Th 3.11, 2 Tb 3.44, 4 Dy 3.48
Pm (0.2500, 0.6571, 0.3142)  1 Th 3.11, 2 Tb 3.44, 4 Dy 3.48

---

Tb6PmDy2Th3 | PBE | optimized geometry

## Properties
volume = 32.1 Å³ per atom
energy of formation from the pure elements = 0.022 eV/atom
SG = C2/m

Unit cell a=6.1955 b=6.1955 c=11.7798 alpha=95.04 beta=95.04 gamma=119.98
With the nearest neighbours (Å) after each atom.
Atoms (fractional coordinates):
Tb (0.7510, 0.7510, 0.2545)  3 Th 3.52, 6 Tb 3.57-3.58, 2 Dy 3.60, 1 Pm 3.60
Tb (0.0848, 0.4186, 0.2547)  3 Th 3.52, 6 Tb 3.57-3.58, 2 Dy 3.60, 1 Pm 3.60
Tb (0.9152, 0.5814, 0.7453)  3 Th 3.52, 6 Tb 3.57-3.58, 2 Dy 3.60, 1 Pm 3.60
Tb (0.2490, 0.2490, 0.7455)  3 Th 3.52, 6 Tb 3.57-3.58, 2 Dy 3.60, 1 Pm 3.60
Tb (0.5814, 0.9152, 0.7453)  3 Th 3.52, 6 Tb 3.57-3.58, 2 Dy 3.60, 1 Pm 3.60
Tb (0.4186, 0.0848, 0.2547)  3 Th 3.52, 6 Tb 3.57-3.58, 2 Dy 3.60, 1 Pm 3.60
Th (0.1664, 0.8336, 0.5000)  6 Tb 3.52, 6 Th 3.57-3.58
Th (0.8336, 0.1664, 0.5000)  6 Tb 3.52, 6 Th 3.57-3.58
Th (0.5000, 0.5000, 0.5000)  6 Tb 3.52, 6 Th 3.58
Dy (0.3332, 0.6668, 0.0000)  3 Pm 3.58, 3 Dy 3.58, 6 Tb 3.60
Dy (0.6668, 0.3332, 0.0000)  3 Pm 3.58, 3 Dy 3.58, 6 Tb 3.60
Pm (0.0000, 0.0000, 0.0000)  6 Dy 3.58, 6 Tb 3.60

---

Tb2PmDy5Th | PBE | optimized geometry

## Properties
volume = 33.3 Å³ per atom
energy of formation from the pure elements = 0.161 eV/atom
SG = Cmc2_1

Unit cell a=5.7222 b=11.1132 c=9.7576 alpha=90.00 beta=90.00 gamma=104.92
With the nearest neighbours (Å) after each atom.
Atoms (fractional coordinates):
Pm (0.8099, 0.6197, 0.5185)  2 Tb 3.26-3.45, 5 Dy 3.44-3.53
Pm (0.1901, 0.3803, 0.0185)  2 Tb 3.26-3.45, 5 Dy 3.44-3.53
Tb (0.8718, 0.7436, 0.2129)  1 Pm 3.26, 3 Dy 3.37-3.60, 2 Th 3.60
Tb (0.8839, 0.7679, 0.8322)  8 Dy 3.34-3.53, 1 Pm 3.45, 1 Tb 3.72
Tb (0.1282, 0.2564, 0.7129)  1 Pm 3.26, 3 Dy 3.37-3.60, 2 Th 3.60
Tb (0.1161, 0.2321, 0.3322)  8 Dy 3.34-3.53, 1 Pm 3.45, 1 Tb 3.72
Dy (0.4685, 0.9370, 0.7405)  2 Th 3.20-3.37, 3 Dy 3.29-3.52, 2 Tb 3.50
Dy (0.7272, 0.4544, 0.8230)  1 Th 3.05, 1 Tb 3.37
Dy (0.6951, 0.3901, 0.2143)  2 Pm 3.44, 4 Dy 3.48-3.78, 3 Tb 3.52-3.80, 1 Th 3.60
Dy (0.5315, 0.0630, 0.2405)  2 Th 3.20-3.37, 3 Dy 3.29-3.52, 2 Tb 3.50
Dy (0.3049, 0.6099, 0.7143)  2 Pm 3.44, 4 Dy 3.48-3.78, 3 Tb 3.52-3.80, 1 Th 3.60
Dy (0.6004, 0.2008, 0.5414)  2 Dy 3.29-3.44, 4 Tb 3.37-3.53
Dy (0.3996, 0.7992, 0.0414)  2 Dy 3.29-3.44, 4 Tb 3.37-3.53
Dy (0.0143, 0.0285, 0.0189)  2 Tb 3.34-3.60, 2 Th 3.45, 2 Dy 3.61
Dy (0.2728, 0.5456, 0.3230)  1 Th 3.05, 1 Tb 3.37
Dy (0.9857, 0.9715, 0.5189)  2 Tb 3.34-3.60, 2 Th 3.45, 2 Dy 3.61
Th (0.4072, 0.8145, 0.4223)  3 Dy 3.05-3.37
Th (0.5928, 0.1855, 0.9223)  3 Dy 3.05-3.37

---

Tb2Pm6Dy3Th | PBE | optimized geometry

## Properties
volume = 33.1 Å³ per atom
energy of formation from the pure elements = 0.030 eV/atom
SG = C2/m

Unit cell a=6.2421 b=6.2421 c=11.9464 alpha=95.01 beta=95.01 gamma=119.93
With the nearest neighbours (Å) after each atom.
Atoms (fractional coordinates):
Th (0.0000, 0.0000, 0.0000)  6 Pm 3.59, 6 Tb 3.60-3.61
Pm (0.7540, 0.7540, 0.2496)  6 Pm 3.57-3.63, 1 Th 3.59, 3 Dy 3.60-3.62, 2 Tb 3.61
Pm (0.0839, 0.4139, 0.2498)  6 Pm 3.57-3.63, 1 Th 3.59, 3 Dy 3.60-3.61, 2 Tb 3.61
Pm (0.5861, 0.9161, 0.7502)  6 Pm 3.57-3.63, 1 Th 3.59, 3 Dy 3.60-3.61, 2 Tb 3.61
Pm (0.4139, 0.0839, 0.2498)  6 Pm 3.57-3.63, 1 Th 3.59, 3 Dy 3.60-3.61, 2 Tb 3.61
Pm (0.2460, 0.2460, 0.7504)  6 Pm 3.57-3.63, 1 Th 3.59, 3 Dy 3.60-3.62, 2 Tb 3.61
Pm (0.9161, 0.5861, 0.7502)  6 Pm 3.57-3.63, 1 Th 3.59, 3 Dy 3.60-3.61, 2 Tb 3.61
Dy (0.1669, 0.8331, 0.5000)  6 Pm 3.60-3.61, 6 Dy 3.60-3.61
Dy (0.8331, 0.1669, 0.5000)  6 Pm 3.60-3.61, 6 Dy 3.60-3.61
Dy (0.5000, 0.5000, 0.5000)  6 Pm 3.60-3.62, 6 Dy 3.60-3.61
Tb (0.3334, 0.6666, 0.0000)  3 Tb 3.60-3.61, 3 Th 3.60-3.61, 6 Pm 3.61
Tb (0.6666, 0.3334, 0.0000)  3 Tb 3.60-3.61, 3 Th 3.60-3.61, 6 Pm 3.61

---

Tb3PmDy6Th2 | PBE | optimized geometry

## Properties
volume = 31.9 Å³ per atom
energy of formation from the pure elements = 0.028 eV/atom
SG = C2/m

Unit cell a=6.1821 b=6.1821 c=11.7610 alpha=95.04 beta=95.04 gamma=119.96
With the nearest neighbours (Å) after each atom.
Atoms (fractional coordinates):
Dy (0.0833, 0.4212, 0.2482)  2 Th 3.53, 6 Dy 3.54-3.62, 1 Pm 3.55, 3 Tb 3.55-3.58
Dy (0.5788, 0.9167, 0.7518)  2 Th 3.53, 6 Dy 3.54-3.62, 1 Pm 3.55, 3 Tb 3.55-3.58
Dy (0.2547, 0.2547, 0.7518)  2 Th 3.53, 6 Dy 3.54-3.62, 1 Pm 3.55, 3 Tb 3.56-3.58
Dy (0.7453, 0.7453, 0.2482)  2 Th 3.53, 6 Dy 3.54-3.62, 1 Pm 3.55, 3 Tb 3.56-3.58
Dy (0.4212, 0.0833, 0.2482)  2 Th 3.53, 6 Dy 3.54-3.62, 1 Pm 3.55, 3 Tb 3.55-3.58
Dy (0.9167, 0.5788, 0.7518)  2 Th 3.53, 6 Dy 3.54-3.62, 1 Pm 3.55, 3 Tb 3.55-3.58
Th (0.3333, 0.6667, 0.0000)  6 Dy 3.53, 3 Pm 3.57, 3 Th 3.57
Th (0.6667, 0.3333, 0.0000)  6 Dy 3.53, 3 Pm 3.57, 3 Th 3.57
Tb (0.5000, 0.5000, 0.5000)  6 Dy 3.56-3.58, 6 Tb 3.57
Tb (0.1663, 0.8337, 0.5000)  6 Dy 3.55-3.58, 6 Tb 3.56-3.57
Tb (0.8337, 0.1663, 0.5000)  6 Dy 3.55-3.58, 6 Tb 3.56-3.57
Pm (0.0000, 0.0000, 0.0000)  6 Dy 3.55, 6 Th 3.57

---

Tb6Pm3Dy2Tl | PBE | optimized geometry

## Properties
volume = 31.6 Å³ per atom
energy of formation from the pure elements = -0.014 eV/atom
SG = C2/m

Unit cell a=6.1627 b=6.1627 c=11.7107 alpha=95.06 beta=95.06 gamma=120.04
With the nearest neighbours (Å) after each atom.
Atoms (fractional coordinates):
Dy (0.6662, 0.3338, 0.0000)  6 Tb 3.50, 3 Dy 3.55-3.56, 3 Tl 3.55-3.56
Dy (0.3338, 0.6662, 0.0000)  6 Tb 3.50, 3 Dy 3.55-3.56, 3 Tl 3.55-3.56
Tb (0.5907, 0.9188, 0.7556)  1 Tl 3.47, 2 Dy 3.50, 6 Tb 3.50-3.59, 3 Pm 3.58-3.61
Tb (0.9188, 0.5907, 0.7556)  1 Tl 3.47, 2 Dy 3.50, 6 Tb 3.50-3.59, 3 Pm 3.58-3.61
Tb (0.7532, 0.7532, 0.2458)  1 Tl 3.48, 6 Tb 3.50-3.59, 2 Dy 3.50, 3 Pm 3.57-3.60
Tb (0.0812, 0.4093, 0.2444)  1 Tl 3.47, 2 Dy 3.50, 6 Tb 3.50-3.59, 3 Pm 3.58-3.61
Tb (0.4093, 0.0812, 0.2444)  1 Tl 3.47, 2 Dy 3.50, 6 Tb 3.50-3.59, 3 Pm 3.58-3.61
Tb (0.2468, 0.2468, 0.7542)  1 Tl 3.48, 6 Tb 3.50-3.59, 2 Dy 3.50, 3 Pm 3.57-3.60
Pm (0.1674, 0.8326, 0.5000)  6 Pm 3.55-3.57, 6 Tb 3.57-3.61
Pm (0.5000, 0.5000, 0.5000)  6 Pm 3.55-3.56, 6 Tb 3.58-3.60
Pm (0.8326, 0.1674, 0.5000)  6 Pm 3.55-3.57, 6 Tb 3.57-3.61
Tl (0.0000, 0.0000, 0.0000)  6 Tb 3.47-3.48, 6 Dy 3.55-3.56

---

Tb2PmDyTl2 | PBE | optimized geometry

## Properties
volume = 29.6 Å³ per atom
energy of formation from the pure elements = -0.272 eV/atom
SG = Pmc2_1

Unit cell a=5.1499 b=6.8478 c=10.0660 alpha=90.00 beta=90.00 gamma=90.00
With the nearest neighbours (Å) after each atom.
Atoms (fractional coordinates):
Dy (0.5000, 0.6817, 0.3102)  4 Tl 3.20-3.29, 2 Pm 3.53
Dy (0.5000, 0.1817, 0.6898)  4 Tl 3.20-3.29, 2 Pm 3.53
Tl (0.5000, 0.2204, 0.3641)  2 Dy 3.20-3.29, 3 Tb 3.25-3.42, 4 Pm 3.27-3.54
Tl (0.0000, 0.2975, 0.8655)  6 Tb 3.21-3.56, 2 Dy 3.22, 1 Pm 3.44
Tl (0.0000, 0.7975, 0.1345)  6 Tb 3.21-3.56, 2 Dy 3.22, 1 Pm 3.44
Tl (0.5000, 0.7204, 0.6359)  2 Dy 3.20-3.29, 3 Tb 3.25-3.42, 4 Pm 3.27-3.54
Tb (0.5000, 0.5519, 0.9561)  5 Tl 3.24-3.56, 4 Tb 3.51-3.54
Tb (0.0000, 0.8340, 0.8169)  4 Tl 3.21-3.25, 2 Tb 3.51
Tb (0.0000, 0.3340, 0.1831)  4 Tl 3.21-3.25, 2 Tb 3.51
Tb (0.5000, 0.0519, 0.0439)  5 Tl 3.24-3.56, 4 Tb 3.51-3.54
Pm (0.0000, 0.9602, 0.4574)  5 Tl 3.27-3.54, 2 Pm 3.53, 2 Dy 3.53
Pm (0.0000, 0.4602, 0.5426)  5 Tl 3.27-3.54, 2 Pm 3.53, 2 Dy 3.53

---

Tb4PmDy2Tl | PBE | optimized geometry

## Properties
volume = 33.0 Å³ per atom
energy of formation from the pure elements = 0.092 eV/atom
SG = Cmcm

Unit cell a=3.6025 b=8.7033 c=17.2158 alpha=90.00 beta=90.00 gamma=101.94
With the nearest neighbours (Å) after each atom.
Atoms (fractional coordinates):
Tb (0.6772, 0.3545, 0.9198)  3 Dy 3.26-3.62, 2 Pm 3.52, 2 Tb 3.60
Tb (0.5452, 0.0904, 0.7500)  2 Tl 3.14, 2 Pm 3.51
Tb (0.6772, 0.3545, 0.5802)  3 Dy 3.26-3.62, 2 Pm 3.52, 2 Tb 3.60
Tb (0.3228, 0.6455, 0.4198)  3 Dy 3.26-3.62, 2 Pm 3.52, 2 Tb 3.60
Tb (0.4548, 0.9096, 0.2500)  2 Tl 3.14, 2 Pm 3.51
Tb (0.0000, 0.0000, 0.0000)  4 Dy 3.50, 6 Tb 3.60-3.78
Tb (0.3228, 0.6455, 0.0802)  3 Dy 3.26-3.62, 2 Pm 3.52, 2 Tb 3.60
Tb (0.0000, 0.0000, 0.5000)  4 Dy 3.50, 6 Tb 3.60-3.78
Pm (0.7777, 0.5555, 0.2500)  2 Dy 3.41, 2 Tl 3.44, 6 Tb 3.51-3.52, 2 Pm 3.60
Pm (0.2223, 0.4445, 0.7500)  2 Dy 3.41, 2 Tl 3.44, 6 Tb 3.51-3.52, 2 Pm 3.60
Dy (0.3597, 0.7194, 0.8944)  2 Tl 3.13, 1 Tb 3.26, 1 Pm 3.41
Dy (0.3597, 0.7194, 0.6056)  2 Tl 3.13, 1 Tb 3.26, 1 Pm 3.41
Dy (0.6403, 0.2806, 0.3944)  2 Tl 3.13, 1 Tb 3.26, 1 Pm 3.41
Dy (0.6403, 0.2806, 0.1056)  2 Tl 3.13, 1 Tb 3.26, 1 Pm 3.41
Tl (0.1059, 0.2119, 0.2500)  4 Dy 3.13, 2 Tb 3.14, 2 Pm 3.44
Tl (0.8941, 0.7881, 0.7500)  4 Dy 3.13, 2 Tb 3.14, 2 Pm 3.44

---

Tb3Pm6Dy2Tl | PBE | optimized geometry

## Properties
volume = 32.2 Å³ per atom
energy of formation from the pure elements = -0.013 eV/atom
SG = C2/m

Unit cell a=6.2066 b=6.2066 c=11.7966 alpha=95.07 beta=95.07 gamma=120.11
With the nearest neighbours (Å) after each atom.
Atoms (fractional coordinates):
Tl (0.0000, 0.0000, 0.0000)  6 Pm 3.52-3.54, 6 Dy 3.58-3.59
Pm (0.2452, 0.2452, 0.7511)  6 Pm 3.52-3.61, 1 Tl 3.54, 2 Dy 3.56, 3 Tb 3.57-3.59
Pm (0.0822, 0.4102, 0.2475)  1 Tl 3.52, 6 Pm 3.52-3.61, 2 Dy 3.55, 3 Tb 3.58-3.60
Pm (0.5898, 0.9178, 0.7525)  1 Tl 3.52, 6 Pm 3.52-3.61, 2 Dy 3.55, 3 Tb 3.58-3.60
Pm (0.4102, 0.0822, 0.2475)  1 Tl 3.52, 6 Pm 3.52-3.61, 2 Dy 3.55, 3 Tb 3.58-3.60
Pm (0.7548, 0.7548, 0.2489)  6 Pm 3.52-3.61, 1 Tl 3.54, 2 Dy 3.56, 3 Tb 3.57-3.59
Pm (0.9178, 0.5898, 0.7525)  1 Tl 3.52, 6 Pm 3.52-3.61, 2 Dy 3.55, 3 Tb 3.58-3.60
Dy (0.3337, 0.6663, 0.0000)  6 Pm 3.55-3.56, 3 Tl 3.58-3.59, 3 Dy 3.58
Dy (0.6663, 0.3337, 0.0000)  6 Pm 3.55-3.56, 3 Tl 3.58-3.59, 3 Dy 3.58
Tb (0.1677, 0.8323, 0.5000)  6 Tb 3.57-3.61, 6 Pm 3.57-3.60
Tb (0.8323, 0.1677, 0.5000)  6 Tb 3.57-3.61, 6 Pm 3.57-3.60
Tb (0.5000, 0.5000, 0.5000)  6 Tb 3.57-3.58, 6 Pm 3.58-3.59

---

TbPm2DyTl2 | PBE | optimized geometry

## Properties
volume = 30.0 Å³ per atom
energy of formation from the pure elements = -0.272 eV/atom
SG = Pmc2_1

Unit cell a=5.1655 b=6.8555 c=10.1692 alpha=90.00 beta=90.00 gamma=90.00
With the nearest neighbours (Å) after each atom.
Atoms (fractional coordinates):
Tl (0.5000, 0.7178, 0.6288)  2 Dy 3.19-3.24, 4 Tb 3.24-3.53, 3 Pm 3.28-3.53
Tl (0.0000, 0.7986, 0.1427)  2 Dy 3.23, 6 Pm 3.26-3.60, 1 Tb 3.41
Tl (0.0000, 0.2986, 0.8573)  2 Dy 3.23, 6 Pm 3.26-3.60, 1 Tb 3.41
Tl (0.5000, 0.2178, 0.3712)  2 Dy 3.19-3.24, 4 Tb 3.24-3.53, 3 Pm 3.28-3.53
Pm (0.0000, 0.3278, 0.1861)  4 Tl 3.26-3.35, 2 Pm 3.51
Pm (0.5000, 0.5551, 0.9581)  5 Tl 3.29-3.60, 4 Pm 3.51-3.53
Pm (0.0000, 0.8278, 0.8139)  4 Tl 3.26-3.35, 2 Pm 3.51
Pm (0.5000, 0.0551, 0.0419)  5 Tl 3.29-3.60, 4 Pm 3.51-3.53
Dy (0.5000, 0.6834, 0.3162)  4 Tl 3.19-3.24, 2 Tb 3.53
Dy (0.5000, 0.1834, 0.6838)  4 Tl 3.19-3.24, 2 Tb 3.53
Tb (0.0000, 0.9629, 0.4589)  5 Tl 3.24-3.53, 2 Dy 3.53, 2 Tb 3.53
Tb (0.0000, 0.4629, 0.5411)  5 Tl 3.24-3.53, 2 Dy 3.53, 2 Tb 3.53

---

TbPm2DyTl4 | PBE | optimized geometry

## Properties
volume = 28.4 Å³ per atom
energy of formation from the pure elements = -0.365 eV/atom
SG = R-3m

Unit cell a=5.4317 b=5.4317 c=9.4175 alpha=73.24 beta=73.24 gamma=60.00
With the nearest neighbours (Å) after each atom.
Atoms (fractional coordinates):
Tb (0.0000, 0.0000, 0.0000)  8 Tl 3.33
Pm (0.2499, 0.2499, 0.2503)  8 Tl 3.32-3.34
Pm (0.7501, 0.7501, 0.7497)  8 Tl 3.32-3.34
Tl (0.3752, 0.3752, 0.8745)  1 Dy 3.33, 4 Pm 3.33-3.34, 3 Tb 3.33
Tl (0.6248, 0.6248, 0.1255)  1 Dy 3.33, 4 Pm 3.33-3.34, 3 Tb 3.33
Tl (0.8749, 0.8749, 0.3754)  4 Pm 3.32-3.33, 3 Dy 3.33, 1 Tb 3.33
Tl (0.1251, 0.1251, 0.6246)  4 Pm 3.32-3.33, 3 Dy 3.33, 1 Tb 3.33
Dy (0.5000, 0.5000, 0.5000)  8 Tl 3.33